Entry 1:
NdEr5N6 PBE relaxed; calculated volume = 177 Å³/cell; space-group type = C2/m; raw total energy = -97.81 eV for the cell shown; uncorrected formation energy = -1.690 eV per atom
1.0
-5.904 -0.874 -0.656
-2.820 1.463 5.099
-1.944 5.621 0.851
Er N Nd
5 6 1
Direct
0.500 0.500 0.000
0.500 0.168 0.664
0.500 0.832 0.336
0.000 0.334 0.333
0.000 0.666 0.667
0.746 0.085 0.342
0.746 0.743 0.000
0.254 0.915 0.658
0.254 0.257 0.000
0.746 0.427 0.658
0.254 0.573 0.342
0.000 0.000 0.000



Entry 2:
Nd4ErN5 PBE relaxed; calculated volume = 167 Å³/cell; space-group type = I4; raw total energy = -79.47 eV for the cell shown; uncorrected formation energy = -1.421 eV per atom
1.0
-3.077 1.365 -3.918
-4.520 -4.110 -1.287
-4.997 3.344 1.684
Nd N Er
4 5 1
Direct
0.810 0.802 0.600
0.213 0.198 0.400
0.613 0.600 0.198
0.411 0.400 0.802
0.285 0.806 0.611
0.090 0.611 0.194
0.896 0.389 0.806
0.471 0.000 0.000
0.702 0.194 0.389
0.019 0.000 0.000



Entry 3:
Nd4Er2N PBE relaxed; calculated volume = 221 Å³/cell; space-group type = I4/mmm; raw total energy = -37.69 eV for the cell shown; uncorrected formation energy = -0.167 eV per atom
1.0
5.011 0.000 0.000
0.000 5.011 0.000
2.506 2.506 8.789
Er Nd N
2 4 1
Direct
0.662 0.662 0.675
0.338 0.338 0.325
0.137 0.137 0.727
0.500 0.000 0.000
0.000 0.500 0.000
0.863 0.863 0.273
0.000 0.000 0.000



Entry 4:
Nd3ErN PBE relaxed; calculated volume = 136 Å³/cell; space-group type = Pm-3m; raw total energy = -29.46 eV for the cell shown; uncorrected formation energy = -0.454 eV per atom
1.0
5.138 0.000 0.000
0.000 5.138 0.000
0.000 0.000 5.138
Nd N Er
3 1 1
Direct
0.000 0.500 0.000
0.000 0.000 0.500
0.500 0.000 0.000
0.000 0.000 0.000
0.500 0.500 0.500